Compound: CsCoBr2F
Source: Alexandria via LeMat-Bulk
Functional: PBE+U
Structure: relaxed

Cell: 5.6406 5.6406 4.0555 Å, 90.00 90.00 90.00°
Last column: nearest neighbours and their distance in Å.
Element x y z (fractional)
1 Cs 0.0000 0.0000 0.0000  8 Br 3.47
2 Co 0.5000 0.5000 0.5000  2 F 2.03
3 Br 0.0000 0.5000 0.5000  2 Co 2.82
4 Br 0.5000 0.0000 0.5000  2 Co 2.82
5 F 0.5000 0.5000 0.0000  2 Co 2.03

## Properties
Calculated total energy = -17.4 eV/cell
Space-group type = P4/mmm, No. 123